{"formula": "Pa2PO4", "functional": "PBE", "state": "optimized geometry", "cell": [[3.486, 0.000, 0.000], [0.000, 7.557, 0.000], [0.000, 0.000, 7.557]], "species": ["Pa", "Pa", "Pa", "Pa", "P", "P", "O", "O", "O", "O", "O", "O", "O", "O"], "fractional_positions": [[0.000, 0.238, 0.762], [0.000, 0.762, 0.238], [0.500, 0.738, 0.738], [0.500, 0.262, 0.262], [0.500, 0.000, 0.000], [0.000, 0.500, 0.500], [0.000, 0.091, 0.319], [0.000, 0.909, 0.681], [0.500, 0.181, 0.591], [0.500, 0.819, 0.409], [0.500, 0.409, 0.819], [0.500, 0.591, 0.181], [0.000, 0.319, 0.091], [0.000, 0.681, 0.909]], "formation_energy_uncorrected_ev_per_atom": -2.675, "total_magnetization_mub_per_cell": 0.000}